1.
Crystalline GaPbF3 at its relaxed geometry, computed with GGA-PBE.

Lattice parameters (Å, degrees): 4.3591 4.3591 4.3591 90.00 90.00 90.00
Space group Pm-3m (No. 221)
One atom of each set of equivalent atoms:
Ga 0.0000 0.0000 0.0000
Pb 0.5000 0.5000 0.5000
F 0.0000 0.0000 0.5000

Calculated values
Raw total energy in eV/atom: -4.201
Crystal system: cubic
Energy relative to the elements, uncorrected in eV per atom: -1.731
Distance to the lowest polymorph of the same formula in meV/atom: 119.1


2.
Crystalline NaBSe2N at its relaxed geometry, computed with GGA-PBE.

Lattice parameters (Å, degrees): 6.1398 6.1398 2.6266 90.00 90.00 90.00
Space group P4/mmm (No. 123)
One atom of each set of equivalent atoms:
Na 0.0000 0.0000 0.0000
B 0.5000 0.5000 0.5000
Se 0.0000 0.5000 0.5000
N 0.5000 0.5000 0.0000

Calculated values
Raw total energy in eV/atom: -4.835
Crystal system: tetragonal
Energy relative to the elements, uncorrected in eV per atom: -0.177
Distance to the lowest polymorph of the same formula in meV/atom: 0.0


3.
Crystalline PmNdSmPb at its relaxed geometry, computed with GGA-PBE.

Lattice parameters (Å, degrees): 7.9255 7.9255 7.9255 90.00 90.00 90.00
Space group F-43m (No. 216)
One atom of each set of equivalent atoms:
Pm 0.0000 0.0000 0.0000
Nd 0.0000 0.0000 0.5000
Sm 0.2500 0.2500 0.2500
Pb 0.2500 0.2500 0.7500

Calculated values
Raw total energy in eV/atom: -4.632
Calculated formation energy in eV per atom: -0.15
Crystal system: cubic


4.
Crystalline TaTc2Mo at its relaxed geometry, computed with GGA-PBE.

Lattice parameters (Å, degrees): 3.1579 3.1579 6.3534 90.00 90.00 90.00
Space group P4mm (No. 99)
One atom of each set of equivalent atoms:
Ta 0.0000 0.0000 0.0000
Tc 0.0000 0.0000 0.5033
Tc 0.5000 0.5000 0.2339
Mo 0.5000 0.5000 0.7307

Calculated values
Raw total energy in eV/atom: -10.959
Calculated formation energy in eV per atom: -0.10
Crystal system: tetragonal
Distance to the lowest polymorph of the same formula in meV/atom: 94.5


5.
Crystalline Tb8ZnCu2 at its relaxed geometry, computed with GGA-PBE.

Lattice parameters (Å, degrees): 17.6041 5.1057 6.8087 90.00 107.50 90.00
Space group C2/m (No. 12)
One atom of each set of equivalent atoms:
Tb 0.0320 0.0000 0.2816
Tb 0.0933 0.5000 0.9644
Tb 0.1726 0.5000 0.4871
Tb 0.1972 0.0000 0.8278
Zn 0.0000 0.5000 0.5000
Cu 0.1811 0.0000 0.2211

Calculated values
Raw total energy in eV/atom: -4.353
Calculated formation energy in eV per atom: -0.12
Crystal system: monoclinic


6.
Crystalline TiCo3Sn at its relaxed geometry, computed with GGA-PBE.

Lattice parameters (Å, degrees): 4.3104 4.3104 4.3104 90.00 90.00 90.00
Space group Pm-3m (No. 221)
One atom of each set of equivalent atoms:
Ti 0.0000 0.0000 0.0000
Co 0.0000 0.0000 0.5000
Sn 0.5000 0.5000 0.5000

Calculated values
Raw total energy in eV/atom: -5.814
Calculated formation energy in eV per atom: 0.83
Crystal system: cubic
Distance to the lowest polymorph of the same formula in meV/atom: 0.0


7.
Crystalline Dy2MgCd5 at its relaxed geometry, computed with GGA-PBE.

Lattice parameters (Å, degrees): 4.8329 4.8329 16.1926 90.00 90.00 90.00
Space group I4/mmm (No. 139)
One atom of each set of equivalent atoms:
Dy 0.0000 0.0000 0.2478
Mg 0.0000 0.0000 0.5000
Cd 0.0000 0.0000 0.0000
Cd 0.0000 0.5000 0.1170

Calculated values
Raw total energy in eV/atom: -2.131
Calculated formation energy in eV per atom: -0.21
Crystal system: tetragonal


8.
Crystalline Th4Sb3Rh at its relaxed geometry, computed with GGA-PBE.

Lattice parameters (Å, degrees): 7.8235 8.9199 7.4900 90.00 108.96 90.00
Space group P2/c (No. 13)
One atom of each set of equivalent atoms:
Th 0.2186 0.1145 0.0127
Th 0.2371 0.3566 0.4844
Sb 0.0000 0.3786 0.7500
Sb 0.5000 0.1234 0.7500
Sb 0.5000 0.3834 0.2500
Rh 0.0000 0.1202 0.2500

Calculated values
Raw total energy in eV/atom: -7.034
Crystal system: monoclinic
Energy relative to the elements, uncorrected in eV per atom: -0.859


9.
Crystalline CsCaSb2 at its relaxed geometry, computed with GGA-PBE.

Lattice parameters (Å, degrees): 3.9094 3.9094 32.7005 90.00 90.00 120.00
Space group R-3m (No. 166, hexagonal axes)
One atom of each set of equivalent atoms:
Cs 0.0000 0.0000 0.0000
Ca 0.0000 0.0000 0.5000
Sb 0.0000 0.0000 0.2386

Calculated values
Raw total energy in eV/atom: -3.135
Crystal system: trigonal
Energy relative to the elements, uncorrected in eV per atom: -0.360
Distance to the lowest polymorph of the same formula in meV/atom: 28.7


10.
Crystalline BaCa2Tl2 at its relaxed geometry, computed with GGA-PBE.

Lattice parameters (Å, degrees): 5.7752 5.7752 12.0991 90.00 90.00 90.00
Space group I4/mmm (No. 139)
One atom of each set of equivalent atoms:
Ba 0.0000 0.0000 0.0000
Ca 0.0000 0.0000 0.3496
Tl 0.0000 0.5000 0.2500

Calculated values
Raw total energy in eV/atom: -2.314
Calculated formation energy in eV per atom: -0.18
Crystal system: tetragonal
Distance to the lowest polymorph of the same formula in meV/atom: 159.6


11.
Crystalline Ce2Ga6Ni3 at its relaxed geometry, computed with GGA-PBE.

Lattice parameters (Å, degrees): 7.5044 7.5044 4.0260 90.00 90.00 120.00
Space group P-62m (No. 189)
One atom of each set of equivalent atoms:
Ce 0.3333 0.6667 0.0000
Ga 0.0000 0.3080 0.5000
Ga 0.0000 0.8005 0.0000
Ni 0.0000 0.6303 0.5000

Calculated values
Raw total energy in eV/atom: -4.792
Calculated formation energy in eV per atom: -0.49
Crystal system: hexagonal


12.
Crystalline Rb2TiSb2Se6 at its relaxed geometry, computed with GGA-PBE.

Lattice parameters (Å, degrees): 7.0634 12.0998 8.5131 90.00 107.24 90.00
Space group C2/m (No. 12)
One atom of each set of equivalent atoms:
Rb 0.0000 0.1733 0.0000
Ti 0.0000 0.0000 0.5000
Sb 0.0000 0.3311 0.5000
Se 0.2206 0.1525 0.6854
Se 0.2375 0.0000 0.3174

Calculated values
Raw total energy in eV/atom: -4.360
Crystal system: monoclinic
Energy relative to the elements, uncorrected in eV per atom: -0.816


13.
Crystalline Y3UCl2O6 at its relaxed geometry, computed with GGA-PBE.

Lattice parameters (Å, degrees): 12.1102 6.7680 5.4480 90.00 101.85 90.00
Space group C2/m (No. 12)
One atom of each set of equivalent atoms:
Y 0.0000 0.0000 0.0000
Y 0.2500 0.2500 0.5000
U 0.0000 0.5000 0.5000
Cl 0.1963 0.0000 0.8375
O 0.0658 0.2520 0.2919
O 0.1747 0.5000 0.6647

Calculated values
Raw total energy in eV/atom: -8.336
Crystal system: monoclinic
Energy relative to the elements, uncorrected in eV per atom: -2.992


14.
Crystalline CaCe2Pt2 at its relaxed geometry, computed with GGA-PBE.

Lattice parameters (Å, degrees): 5.1922 5.1922 5.6883 90.00 90.00 120.00
Space group P-3m1 (No. 164)
One atom of each set of equivalent atoms:
Ca 0.0000 0.0000 0.0000
Ce 0.3333 0.6667 0.6869
Pt 0.3333 0.6667 0.2004

Calculated values
Raw total energy in eV/atom: -5.999
Calculated formation energy in eV per atom: -0.81
Crystal system: trigonal
Distance to the lowest polymorph of the same formula in meV/atom: 61.8


15.
Crystalline PrY5Ho at its relaxed geometry, computed with GGA-PBE.

Lattice parameters (Å, degrees): 6.3053 22.8394 6.6459 90.00 103.56 90.00
Space group C2/c (No. 15)
One atom of each set of equivalent atoms:
Pr 0.0000 0.0804 0.2500
Y 0.0000 0.3532 0.7500
Y 0.0258 0.2053 0.9983
Y 0.2256 0.4548 0.1379
Ho 0.0000 0.3326 0.2500

Calculated values
Raw total energy in eV/atom: -5.755
Calculated formation energy in eV per atom: 0.20
Crystal system: monoclinic
Distance to the lowest polymorph of the same formula in meV/atom: 0.0


16.
Crystalline PrNi3B at its relaxed geometry, computed with GGA-PBE.

Lattice parameters (Å, degrees): 5.4044 8.2559 6.2125 90.00 90.00 90.00
Space group Imma (No. 74)
One atom of each set of equivalent atoms:
Pr 0.0000 0.2500 0.0558
Ni 0.0000 0.2500 0.5701
Ni 0.2500 0.0336 0.7500
B 0.0000 0.0000 0.5000

Calculated values
Raw total energy in eV/atom: -6.056
Calculated formation energy in eV per atom: -0.30
Crystal system: orthorhombic
Distance to the lowest polymorph of the same formula in meV/atom: 0.0


17.
Crystalline K3HfPb2Se6 at its relaxed geometry, computed with GGA-PBE.

Lattice parameters (Å, degrees): 7.4011 12.8188 8.0217 90.00 108.08 90.00
Space group C2/m (No. 12)
One atom of each set of equivalent atoms:
K 0.0000 0.0000 0.0000
K 0.0000 0.3251 0.0000
Hf 0.0000 0.5000 0.5000
Pb 0.0000 0.1654 0.5000
Se 0.2184 0.3498 0.7047
Se 0.2292 0.5000 0.2937

Calculated values
Raw total energy in eV/atom: -4.485
Crystal system: monoclinic
Energy relative to the elements, uncorrected in eV per atom: -1.021


18.
Crystalline BaPaGeO6 at its relaxed geometry, computed with GGA-PBE.

Lattice parameters (Å, degrees): 5.4930 5.4930 11.5832 90.00 90.00 120.00
Space group P-31c (No. 163)
One atom of each set of equivalent atoms:
Ba 0.0000 0.0000 0.0000
Pa 0.3333 0.6667 0.2500
Ge 0.3333 0.6667 0.7500
O 0.0318 0.3937 0.6539

Calculated values
Raw total energy in eV/atom: -7.558
Crystal system: trigonal
Energy relative to the elements, uncorrected in eV per atom: -2.471


19.
Crystalline NdEuInNi at its relaxed geometry, computed with GGA-PBE.

Lattice parameters (Å, degrees): 7.4657 7.4657 7.4657 90.00 90.00 90.00
Space group F-43m (No. 216)
One atom of each set of equivalent atoms:
Nd 0.0000 0.0000 0.0000
Eu 0.0000 0.0000 0.5000
In 0.2500 0.2500 0.7500
Ni 0.2500 0.2500 0.2500

Calculated values
Raw total energy in eV/atom: -6.069
Calculated formation energy in eV per atom: -0.18
Crystal system: cubic


20.
Crystalline RbLi2Tl9 at its relaxed geometry, computed with GGA-PBE.

Lattice parameters (Å, degrees): 9.6111 9.6111 4.5768 90.00 90.00 120.00
Space group P6/mmm (No. 191)
One atom of each set of equivalent atoms:
Rb 0.0000 0.0000 0.0000
Li 0.3333 0.6667 0.0000
Tl 0.0000 0.5000 0.0000
Tl 0.2072 0.4144 0.5000

Calculated values
Raw total energy in eV/atom: -2.250
Calculated formation energy in eV per atom: -0.08
Crystal system: hexagonal